The following is a PBE with a Hubbard U calculation of an optimized crystal structure of Ho2Mo4O15, from Alexandria.

abc: 9.6928 6.8995 10.7685
angles: 75.14 90.00 90.00
Fractional coordinates of all 42 atoms:
Mo 0.2565 0.9200 0.0094
O 0.1509 0.7815 0.4167
O 0.1267 0.0292 0.5998
O 0.8366 0.8845 0.1002
O 0.6634 0.8845 0.6002
O 0.3638 0.7573 0.6177
O 0.7774 0.6154 0.3478
O 0.3733 0.0292 0.0998
O 0.2774 0.3846 0.1522
O 0.5516 0.8741 0.3138
O 0.0270 0.4569 0.2915
O 0.0516 0.1259 0.1862
O 0.8733 0.9708 0.4002
O 0.5270 0.5431 0.2085
O 0.8491 0.2185 0.5833
O 0.1634 0.1155 0.8998
Mo 0.5945 0.6162 0.3432
O 0.4484 0.1259 0.6862
O 0.3366 0.1155 0.3998
O 0.9730 0.5431 0.7085
O 0.3491 0.7815 0.9167
Ho 0.5232 0.7936 0.7750
Ho 0.0232 0.2064 0.7250
O 0.7226 0.6154 0.8478
O 0.9484 0.8741 0.8138
O 0.6509 0.2185 0.0833
O 0.6267 0.9708 0.9002
Mo 0.0945 0.3838 0.1568
O 0.6362 0.2427 0.3823
Mo 0.9055 0.6162 0.8432
Ho 0.9768 0.7936 0.2750
O 0.0000 0.5000 0.0000
Mo 0.7565 0.0800 0.4906
O 0.2226 0.3846 0.6522
Mo 0.4055 0.3838 0.6568
Mo 0.2435 0.9200 0.5094
Mo 0.7435 0.0800 0.9906
O 0.5000 0.5000 0.5000
O 0.8638 0.2427 0.8823
O 0.4730 0.4569 0.7915
Ho 0.4768 0.2064 0.2250
O 0.1362 0.7573 0.1177

Summary:
Size of the total moment, μB per cell: 0.00
N(E_F), states/eV per cell: 0.0
Energy, hartree per atom: -0.2741
Space-group type: P2_1/c, No. 14